(1)
Below is KTc2Se after structural relaxation, with properties calculated at the PBE level.

Its uncorrected formation energy is 0.762 eV/atom. As for the energy: -5.5667 eV per atom.

The space group is Immm (No. 71) and the conventional cell measures 2.9020, 5.0188 and 10.2763 Å, with angles of 90.00, 90.00 and 90.00 degrees. The distinct sites, in fractional coordinates, are K at (0.0000, 0.0000, 0.0000), Tc at (0.0000, 0.5000, 0.2049) and Se at (0.0000, 0.0000, 0.5000).


(2)
Below is KTc2Se after structural relaxation, with properties calculated at the PBE level.

Its uncorrected formation energy is 0.535 eV/atom. As for the energy: -5.7932 eV per atom.

The space group is C2/m (No. 12) and the conventional cell measures 11.0621, 3.2128 and 5.9469 Å, with angles of 90.00, 109.36 and 90.00 degrees. The distinct sites, in fractional coordinates, are K at (0.0000, 0.0000, 0.0000), Tc at (0.2023, 0.0000, 0.5854) and Se at (0.0000, 0.5000, 0.5000).


(3)
Below is KTcSe after structural relaxation, with properties calculated at the PBE level.

The calculation puts the polymorph energy (0 for the lowest one) at 33.2 kJ/mol of formula units. Its uncorrected formation energy is 0.186 eV/atom. As for the energy: -4.7963 eV per atom.

The space group is P-6m2 (No. 187) and the conventional cell measures 4.1341, 4.1341 and 5.5848 Å, with angles of 90.00, 90.00 and 120.00 degrees. The distinct sites, in fractional coordinates, are K at (0.0000, 0.0000, 0.0000), Tc at (0.3333, 0.6667, 0.5000) and Se at (0.6667, 0.3333, 0.5000).


(4)
Below is KTcSe after structural relaxation, with properties calculated at the PBE level.

The calculation puts the polymorph energy (0 for the lowest one) at 0.0 kJ/mol of formula units. Its uncorrected formation energy is 0.072 eV/atom. As for the energy: -4.9109 eV per atom.

The space group is I4mm (No. 107) and the conventional cell measures 3.2811, 3.2811 and 12.5062 Å, with angles of 90.00, 90.00 and 90.00 degrees. The distinct sites, in fractional coordinates, are K at (0.0000, 0.0000, 0.0000), Tc at (0.0000, 0.0000, 0.7132) and Se at (0.0000, 0.0000, 0.2914).


(5)
Below is KTc2Se after structural relaxation, with properties calculated at the PBE level.

Its uncorrected formation energy is 0.943 eV/atom. As for the energy: -5.3851 eV per atom.

The space group is Pmmm (No. 47) and the conventional cell measures 2.9589, 4.4565 and 6.8667 Å, with angles of 90.00, 90.00 and 90.00 degrees. The distinct sites, in fractional coordinates, are K at (0.0000, 0.0000, 0.0000), Tc at (0.5000, 0.5000, 0.3440) and Se at (0.0000, 0.0000, 0.5000).


(6)
Below is KTc4Se7 after structural relaxation, with properties calculated at the PBE level.

Its uncorrected formation energy is -0.191 eV/atom. As for the energy: -5.7707 eV per atom.

The space group is Pmmn (No. 59, origin choice 2) and the conventional cell measures 4.7407, 14.9109 and 7.7326 Å, with angles of 90.00, 90.00 and 90.00 degrees. The distinct sites, in fractional coordinates, are K at (0.2500, 0.2500, 0.2403), Tc at (0.2500, 0.5172, 0.7148), Tc at (0.2500, 0.6058, 0.2811), Se at (0.2500, 0.0467, 0.3983), Se at (0.2500, 0.1303, 0.8320), Se at (0.2500, 0.6139, 0.9544) and Se at (0.2500, 0.7500, 0.4267).